No. 1
Compound: TcAg2Te2
Source: the Open Quantum Materials Database
Functional: PBE
Structure: optimized geometry

The structure in extended XYZ format:
```
5
Lattice="3.1118 -3.1118 0.0000 3.1118 3.1118 0.0000 -3.1118 0.0000 6.2838" Properties=species:S:1:pos:R:3 pbc="T T T"
Ag 3.1118 0.0000 1.2634
Ag 0.0000 0.0000 5.0204
Tc 0.0000 0.0000 0.0000
Te 1.5559 -1.5559 3.1419
Te 1.5559 1.5559 3.1419
```

Computed properties:
SG ... I4/mmm (139)
Uncorrected energy ... -17.27 eV per formula unit
Crystal system ... tetragonal
Total magnetic moment ... 4.0 Bohr magnetons per cell

No. 2
Compound: NaHoOs
Source: the Open Quantum Materials Database
Functional: PBE
Structure: optimized geometry

The structure in extended XYZ format:
```
3
Lattice="0.0000 3.3049 3.3049 3.3049 0.0000 3.3049 3.3049 3.3049 0.0000" Properties=species:S:1:pos:R:3 pbc="T T T"
Ho 1.6524 1.6524 1.6524
Na 4.9573 4.9573 4.9573
Os 0.0000 0.0000 0.0000
```

Computed properties:
Energy above the lowest structure with this stoichiometry ... 0.000 eV/atom
SG ... F-43m (216)
Crystal system ... cubic
Total magnetic moment ... 0.0 Bohr magnetons per cell

No. 3
Compound: PuPaIr
Source: the Open Quantum Materials Database
Functional: PBE
Structure: optimized geometry

The structure in extended XYZ format:
```
3
Lattice="-0.7752 0.0203 4.4742 -3.0837 -2.8164 1.7828 1.3375 -3.5097 2.5519" Properties=species:S:1:pos:R:3 pbc="T T T"
Ir -1.2607 -3.1529 4.4044
Pa 0.0000 0.0000 0.0000
Pu -0.6303 -1.5765 2.2022
```

Computed properties:
Energy above the lowest structure with this stoichiometry ... 0.000 eV/atom
SG ... F-43m (216)
Crystal system ... cubic
Total magnetic moment ... 4.9 Bohr magnetons per cell

No. 4
Compound: YLuSc
Source: the Open Quantum Materials Database
Functional: PBE
Structure: optimized geometry

The structure in extended XYZ format:
```
6
Lattice="-2.8299 4.0888 -2.0896 -1.7377 -2.5023 4.4510 3.4834 4.3578 3.8098" Properties=species:S:1:pos:R:3 pbc="T T T"
Lu -1.0211 1.0416 3.4561
Lu 0.3551 5.4259 3.1726
Sc -1.3828 3.2360 1.2824
Sc 0.7200 3.2356 5.3499
Y -1.5274 -2.2370 4.6795
Y -0.8773 6.5293 0.0475
```

Computed properties:
Energy above the lowest structure with this stoichiometry ... 0.000 eV/atom
SG ... Cmcm (63)
Crystal system ... orthorhombic
Total magnetic moment ... 0.9 Bohr magnetons per cell

No. 5
Compound: FeReGePt
Source: the Open Quantum Materials Database
Functional: PBE
Structure: optimized geometry

The structure in extended XYZ format:
```
4
Lattice="-2.6765 -3.3987 0.0520 -4.2575 0.5917 -0.4911 -1.9543 -1.2704 -3.6448" Properties=species:S:1:pos:R:3 pbc="T T T"
Fe -6.6663 -3.0580 -3.0629
Ge 0.0000 0.0000 0.0000
Pt -4.4442 -2.0387 -2.0420
Re -2.2221 -1.0193 -1.0210
```

Computed properties:
Energy above the lowest structure with this stoichiometry ... 0.000 eV/atom
SG ... F-43m (216)
Crystal system ... cubic
Total magnetic moment ... 1.5 Bohr magnetons per cell

No. 6
Compound: BAuNO
Source: the Open Quantum Materials Database
Functional: PBE
Structure: optimized geometry

The structure in extended XYZ format:
```
8
Lattice="-1.3501 -2.3384 0.0000 0.0000 0.0000 5.0291 -5.4162 3.1270 0.0000" Properties=species:S:1:pos:R:3 pbc="T T T"
Au -2.5259 1.4583 3.1429
Au -2.8903 1.6687 0.6283
B -1.2381 -0.8441 4.8310
B -5.5282 1.6328 2.3165
N -1.2996 0.7503 4.6171
N -4.1166 2.3767 2.1026
O -0.9738 -0.9967 1.2590
O -5.7924 1.7853 3.7735
```

Computed properties:
Energy above the lowest structure with this stoichiometry ... 0.000 eV/atom
SG ... Pmc2_1 (26)
Crystal system ... orthorhombic

No. 7
Compound: ZrHg2
Source: the Open Quantum Materials Database
Functional: PBE
Structure: optimized geometry

The structure in extended XYZ format:
```
6
Lattice="2.1784 -5.2577 0.0672 0.4120 -2.8471 4.9110 -3.3820 -4.4692 0.9908" Properties=species:S:1:pos:R:3 pbc="T T T"
Hg 1.1963 -5.6241 3.2352
Hg -0.7007 -6.4352 1.2752
Hg -1.5839 -5.2299 3.6970
Hg -0.4947 -7.8587 3.7306
Zr 0.0000 0.0000 0.0000
Zr -0.1979 -3.1435 1.4923
```

Computed properties:
SG ... Fd-3m (227)
Uncorrected energy ... -8.73 eV per formula unit
Crystal system ... cubic
Total magnetic moment ... 1.4 Bohr magnetons per cell

No. 8
Compound: DyY2Co7Ni2
Source: the Open Quantum Materials Database
Functional: PBE
Structure: optimized geometry

The structure in extended XYZ format:
```
12
Lattice="2.4584 1.4194 8.1898 -2.4584 1.4194 8.1898 0.0000 -2.8388 8.1898" Properties=species:S:1:pos:R:3 pbc="T T T"
Co 0.0000 1.4198 10.1849
Co 1.2296 0.7099 14.3845
Co -1.2296 0.7099 14.3845
Co 0.0000 0.0000 12.2847
Co 1.2296 -0.7099 10.1849
Co -1.2296 -0.7099 10.1849
Co 0.0000 -1.4198 14.3845
Dy 0.0000 0.0000 0.0000
Ni 0.0000 0.0000 8.1947
Ni 0.0000 0.0000 16.3748
Y 0.0000 0.0000 3.4272
Y 0.0000 0.0000 21.1422
```

Computed properties:
SG ... R-3m (166)
Uncorrected energy ... -80.91 eV per formula unit
Crystal system ... trigonal
Total magnetic moment ... 8.0 Bohr magnetons per cell